VASP calculation (PBE) on an optimized crystal structure of ZrAsRu2.

Output
As for the formation enthalpy at 0 K: -330 meV per atom. Its density of states at the Fermi level is 2.64 states/eV per cell. Its total magnetization is 0.0 μB per cell.

Cell lengths 5.129, 5.129, 5.129 Å; angles 136.39, 136.39, 63.38 degrees
Sites, in units of the cell vectors:
Zr  0.000  0.000  0.000
As  0.250  0.750  0.500
Ru  0.500  0.500  0.000
Ru  0.750  0.250  0.500